! GGA-PBEsol Na3EuTi2Nb2O12, optimized geometry; values from VASP
! electronic total energy: -8.4511 eV/atom
! formation energy (no corrections): -2.649 eV per atom
! SG: P1 (1)
&SYSTEM
  ibrav = 0, nat = 20, ntyp = 5
/
ATOMIC_SPECIES
O 16.00 O.upf
Na 22.99 Na.upf
Eu 151.96 Eu.upf
Nb 92.91 Nb.upf
Ti 47.87 Ti.upf
CELL_PARAMETERS angstrom
5.443 -0.001 0.001
0.021 5.504 -0.003
0.007 0.004 7.748
ATOMIC_POSITIONS angstrom
O 1.616 1.627 7.447
O 4.340 1.180 3.583
Na 2.764 2.834 5.799
O 3.924 3.996 3.489
O 1.579 1.658 4.151
O 2.298 0.186 1.917
Eu 5.445 5.261 1.939
Na 2.784 2.564 1.937
Nb 2.746 5.462 3.945
O 1.121 4.443 7.634
O 1.089 4.419 3.993
Nb 0.059 2.675 7.663
O 3.904 4.014 0.376
Ti 0.071 2.672 3.856
O 0.371 2.826 1.951
Na 5.437 0.018 5.820
O 3.053 5.371 5.841
O 5.083 2.802 5.777
O 4.316 1.150 0.293
Ti 2.734 5.423 0.046

***

! GGA-PBEsol Na3EuV2O8, optimized geometry; values from VASP
! electronic total energy: -7.7453 eV/atom
! formation energy (no corrections): -2.315 eV per atom
! SG: P-3m1 (164)
&SYSTEM
  ibrav = 0, nat = 14, ntyp = 4
/
ATOMIC_SPECIES
V 50.94 V.upf
O 16.00 O.upf
Na 22.99 Na.upf
Eu 151.96 Eu.upf
CELL_PARAMETERS angstrom
-5.391 1.316 -1.970
0.684 -4.033 4.235
-0.549 4.975 4.828
ATOMIC_POSITIONS angstrom
V -1.456 -1.211 3.175
O -4.711 3.858 2.493
Na -1.704 1.034 5.354
O -2.153 3.233 3.427
O -0.870 0.314 2.590
O -3.381 -0.326 0.236
O -1.875 2.583 6.857
Eu -0.275 2.488 2.414
V -3.800 3.469 3.918
Na 0.000 0.000 0.000
O -3.103 -0.976 3.665
O -0.545 -1.600 4.600
Na -3.552 1.223 1.739
O -4.386 1.944 4.502